Here is an optimized crystal structure of La6DyHg from Alexandria. Energies are from GGA-PBE.

Results
space group: P4/mmm, No. 123
DOS at the Fermi energy: 9.6 states/eV/cell
formation energy: -0.087 eV/atom

Lattice parameters (Å, degrees): 5.0879 5.0879 10.3695 90.00 90.00 90.00
With the nearest neighbours (Å) after each atom.
Fractional coordinates of all 8 atoms:
La  0.0000  0.0000  0.0000  4 Hg 3.60, 8 La 3.60
La  0.0000  0.0000  0.5000  4 Dy 3.60, 8 La 3.66
La  0.0000  0.5000  0.2458  8 La 3.60-3.66, 2 Hg 3.60, 2 Dy 3.66
La  0.0000  0.5000  0.7542  8 La 3.60-3.66, 2 Hg 3.60, 2 Dy 3.66
La  0.5000  0.0000  0.2458  8 La 3.60-3.66, 2 Hg 3.60, 2 Dy 3.66
La  0.5000  0.0000  0.7542  8 La 3.60-3.66, 2 Hg 3.60, 2 Dy 3.66
Dy  0.5000  0.5000  0.5000  12 La 3.60-3.66
Hg  0.5000  0.5000  0.0000  12 La 3.60

=====

Here is an optimized crystal structure of SmBe2Pt2 from Alexandria. Energies are from GGA-PBE.

Results
space group: P4/nmm, No. 129
ΔE to the lowest computed polymorph: 0.0 kJ/mol of atoms
DOS at the Fermi energy: 5.7 states/eV/cell
formation energy: -0.882 eV/atom

Lattice parameters (Å, degrees): 4.0443 4.0443 9.6437 90.00 90.00 90.00
With the nearest neighbours (Å) after each atom.
Fractional coordinates of all 10 atoms:
Sm  0.2500  0.2500  0.2488  8 Pt 3.10-3.16, 8 Be 3.11-3.14
Sm  0.7500  0.7500  0.7512  8 Pt 3.10-3.16, 8 Be 3.11-3.14
Be  0.2500  0.2500  0.6242  5 Pt 2.35-2.42
Be  0.2500  0.7500  0.0000  4 Pt 2.35
Be  0.7500  0.2500  0.0000  4 Pt 2.35
Be  0.7500  0.7500  0.3758  5 Pt 2.35-2.42
Pt  0.2500  0.2500  0.8753  5 Be 2.35-2.42
Pt  0.2500  0.7500  0.5000  4 Be 2.35
Pt  0.7500  0.2500  0.5000  4 Be 2.35
Pt  0.7500  0.7500  0.1247  5 Be 2.35-2.42

=====

Here is an optimized crystal structure of ZrScTe2 from Alexandria. Energies are from GGA-PBE.

Results
space group: P4mm, No. 99
ΔE to the lowest computed polymorph: 0.0 kJ/mol of atoms
DOS at the Fermi energy: 0.7 states/eV/cell
ΔE_f (raw): -1005 meV/atom

Lattice parameters (Å, degrees): 3.8336 3.8336 7.2813 90.00 90.00 90.00
With the nearest neighbours (Å) after each atom.
Fractional coordinates of all 4 atoms:
Zr  0.0000  0.0000  0.0000  5 Te 2.95-2.98, 4 Sc 3.30
Sc  0.5000  0.5000  0.2579  5 Te 2.93-3.04
Te  0.0000  0.0000  0.4099  4 Sc 2.93, 1 Zr 2.98
Te  0.5000  0.5000  0.8402  4 Zr 2.95, 1 Sc 3.04

=====

Here is an optimized crystal structure of AcPaNbN4 from Alexandria. Energies are from GGA-PBE.

Results
space group: Cmcm, No. 63
DOS at the Fermi energy: 8.2 states/eV/cell
ΔE_f (raw): -1139 meV/atom

Lattice parameters (Å, degrees): 7.0412 7.0412 5.8218 90.00 90.00 131.97
With the nearest neighbours (Å) after each atom.
Fractional coordinates of all 14 atoms:
Ac  0.1058  0.8942  0.7500  1 N 2.44
Ac  0.8942  0.1058  0.2500  1 N 2.44
Pa  0.3903  0.6097  0.7500  1 N 2.08
Pa  0.6097  0.3903  0.2500  1 N 2.08
Nb  0.2362  0.7638  0.2500  5 N 1.96-2.05
Nb  0.7638  0.2362  0.7500  5 N 1.96-2.05
N  0.0000  0.5000  0.0000  2 Nb 2.05
N  0.0000  0.5000  0.5000  2 Nb 2.05
N  0.0841  0.9159  0.2500  1 Nb 1.96
N  0.4483  0.5517  0.2500  1 Pa 2.08
N  0.5000  0.0000  0.0000  2 Nb 2.05
N  0.5000  0.0000  0.5000  2 Nb 2.05
N  0.5517  0.4483  0.7500  1 Pa 2.08
N  0.9159  0.0841  0.7500  1 Nb 1.96

=====

Here is an optimized crystal structure of BeTl2TeO4 from Alexandria. Energies are from GGA-PBE.

Results
space group: Pmn2_1, No. 31
ΔE_f (raw): -1225 meV/atom

Lattice parameters (Å, degrees): 6.9667 8.4099 5.0034 90.00 90.00 90.00
With the nearest neighbours (Å) after each atom.
Fractional coordinates of all 16 atoms:
Be  0.0000  0.0831  0.0000  4 O 1.63-1.75
Be  0.5000  0.9169  0.5000  4 O 1.63-1.75
Tl  0.2249  0.3104  0.5148  3 O 2.52-2.70
Tl  0.2751  0.6896  0.0148  3 O 2.52-2.70
Tl  0.7249  0.6896  0.0148  3 O 2.52-2.70
Tl  0.7751  0.3104  0.5148  3 O 2.52-2.70
Te  0.0000  0.8515  0.5279  4 O 1.90-2.10
Te  0.5000  0.1485  0.0279  4 O 1.90-2.10
O  0.0000  0.0638  0.6602  1 Be 1.71, 1 Te 1.90
O  0.0000  0.8943  0.1458  1 Be 1.75, 1 Te 1.95
O  0.2013  0.1713  0.0701  1 Be 1.63
O  0.2987  0.8287  0.5701  1 Be 1.63
O  0.5000  0.1057  0.6458  1 Be 1.75, 1 Te 1.95
O  0.5000  0.9362  0.1602  1 Be 1.71, 1 Te 1.90
O  0.7013  0.8287  0.5701  1 Be 1.63
O  0.7987  0.1713  0.0701  1 Be 1.63

=====

Here is an optimized crystal structure of TaTi2PdPt5 from Alexandria. Energies are from GGA-PBE.

Results
space group: I4/mcm, No. 140
DOS at the Fermi energy: 12.0 states/eV/cell
formation energy: -0.341 eV/atom

Lattice parameters (Å, degrees): 7.5635 7.5635 7.5635 121.30 121.30 87.76
With the nearest neighbours (Å) after each atom.
Fractional coordinates of all 18 atoms:
Ta  0.2500  0.2500  0.0000  10 Pt 2.73-2.95
Ta  0.7500  0.7500  0.0000  10 Pt 2.73-2.95
Ti  0.1083  0.6083  0.7167  1 Ti 2.27, 2 Pt 2.36
Ti  0.3917  0.1083  0.5000  1 Ti 2.27, 2 Pt 2.36
Ti  0.6083  0.8917  0.5000  1 Ti 2.27, 2 Pt 2.36
Ti  0.8917  0.3917  0.2833  1 Ti 2.27, 2 Pt 2.36
Pd  0.2500  0.7500  0.5000  4 Pt 2.58
Pd  0.7500  0.2500  0.5000  4 Pt 2.58
Pt  0.0000  0.0000  0.0000  2 Ta 2.73, 4 Ti 3.01, 8 Pt 3.01
Pt  0.0810  0.1554  0.5000  1 Ti 2.36, 1 Pd 2.58
Pt  0.1554  0.6554  0.0744  1 Ti 2.36, 1 Pd 2.58
Pt  0.3446  0.4190  0.5000  1 Ti 2.36, 1 Pd 2.58
Pt  0.4190  0.9190  0.0744  1 Ti 2.36, 1 Pd 2.58
Pt  0.5000  0.5000  0.0000  2 Ta 2.73, 4 Ti 3.01, 8 Pt 3.01
Pt  0.5810  0.0810  0.9256  1 Ti 2.36, 1 Pd 2.58
Pt  0.6554  0.5810  0.5000  1 Ti 2.36, 1 Pd 2.58
Pt  0.8446  0.3446  0.9256  1 Ti 2.36, 1 Pd 2.58
Pt  0.9190  0.8446  0.5000  1 Ti 2.36, 1 Pd 2.58

=====

Here is an optimized crystal structure of Y3Ir from Alexandria. Energies are from GGA-PBE.

Results
space group: R-3m, No. 166
DOS at the Fermi energy: 6.3 states/eV/cell
formation energy: 0.019 eV/atom

Lattice parameters (Å, degrees): 5.9008 5.9008 5.9008 116.51 116.51 116.51
With the nearest neighbours (Å) after each atom.
Fractional coordinates of all 4 atoms:
Y  0.0000  0.5000  0.5000  6 Y 3.10-3.35, 2 Ir 3.10
Y  0.5000  0.0000  0.5000  2 Ir 3.10, 6 Y 3.10-3.35
Y  0.5000  0.5000  0.0000  6 Y 3.10-3.35, 2 Ir 3.10
Ir  0.0000  0.0000  0.0000  6 Y 3.10, 2 Ir 3.35

=====

Here is an optimized crystal structure of Al5Pd4Rh from Alexandria. Energies are from GGA-PBE.

Results
space group: P4/mmm, No. 123
DOS at the Fermi energy: 4.7 states/eV/cell
formation energy: -0.904 eV/atom

Lattice parameters (Å, degrees): 3.0456 3.0456 15.4529 90.00 90.00 90.00
With the nearest neighbours (Å) after each atom.
Fractional coordinates of all 10 atoms:
Al  0.0000  0.0000  0.0000  8 Pd 2.66
Al  0.0000  0.0000  0.2008  8 Pd 2.65-2.66
Al  0.0000  0.0000  0.4032  4 Rh 2.62, 4 Pd 2.66
Al  0.0000  0.0000  0.5968  4 Rh 2.62, 4 Pd 2.66
Al  0.0000  0.0000  0.7992  8 Pd 2.65-2.66
Pd  0.5000  0.5000  0.1010  8 Al 2.65-2.66
Pd  0.5000  0.5000  0.3022  8 Al 2.66
Pd  0.5000  0.5000  0.6978  8 Al 2.66
Pd  0.5000  0.5000  0.8990  8 Al 2.65-2.66
Rh  0.5000  0.5000  0.5000  8 Al 2.62

=====

Here is an optimized crystal structure of PrEuHoTh from Alexandria. Energies are from GGA-PBE.

Results
space group: F-43m, No. 216
DOS at the Fermi energy: 7.3 states/eV/cell
formation energy: 0.210 eV/atom

Lattice parameters (Å, degrees): 5.7927 5.7927 5.7927 60.00 60.00 60.00
With the nearest neighbours (Å) after each atom.
Fractional coordinates of all 4 atoms:
Pr  0.0000  0.0000  0.0000  4 Ho 3.55, 4 Eu 3.55
Eu  0.2500  0.2500  0.2500  4 Th 3.55, 4 Pr 3.55
Ho  0.7500  0.7500  0.7500  4 Th 3.55, 4 Pr 3.55
Th  0.5000  0.5000  0.5000  4 Ho 3.55, 4 Eu 3.55

=====

Here is an optimized crystal structure of Th6Pt2CSe3 from Alexandria. Energies are from GGA-PBE.

Results
space group: C2/m, No. 12
DOS at the Fermi energy: 9.9 states/eV/cell
ΔE_f (raw): -1214 meV/atom

Lattice parameters (Å, degrees): 9.4834 9.4834 8.6355 104.61 104.61 24.38
With the nearest neighbours (Å) after each atom.
Fractional coordinates of all 12 atoms:
Th  0.0020  0.0020  0.2921  2 C 2.70, 1 Pt 3.00
Th  0.3327  0.3327  0.9281  3 Pt 2.86-3.01, 3 Se 3.00-3.03
Th  0.3524  0.3524  0.4171  1 C 2.64, 2 Pt 2.90
Th  0.6476  0.6476  0.5829  1 C 2.64, 2 Pt 2.90
Th  0.6673  0.6673  0.0719  3 Pt 2.86-3.01, 3 Se 3.00-3.03
Th  0.9980  0.9980  0.7079  2 C 2.70, 1 Pt 3.00
Pt  0.1649  0.1649  0.8335  6 Th 2.86-3.01
Pt  0.8351  0.8351  0.1665  6 Th 2.86-3.01
C  0.5000  0.5000  0.5000  6 Th 2.64-2.70
Se  0.1731  0.1731  0.3382  6 Th 3.03-3.22
Se  0.5000  0.5000  0.0000  6 Th 3.00-3.21
Se  0.8269  0.8269  0.6618  6 Th 3.03-3.22

=====

Here is an optimized crystal structure of Cs2DyCd3F12 from Alexandria. Energies are from GGA-PBE.

Results
space group: R-3m, No. 166
DOS at the Fermi energy: 9.2 states/eV/cell
ΔE_f (raw): -2641 meV/atom

Lattice parameters (Å, degrees): 8.2253 8.2253 8.2253 58.44 58.44 58.44
With the nearest neighbours (Å) after each atom.
Fractional coordinates of all 18 atoms:
Cs  0.1149  0.1149  0.1149  6 F 3.32-3.59
Cs  0.8851  0.8851  0.8851  6 F 3.32-3.59
Dy  0.5000  0.5000  0.5000  6 F 2.18
Cd  0.0000  0.5000  0.5000  6 F 2.19-2.26
Cd  0.5000  0.0000  0.5000  6 F 2.19-2.26
Cd  0.5000  0.5000  0.0000  6 F 2.19-2.26
F  0.1744  0.1744  0.5826  2 Cd 2.19
F  0.1744  0.5826  0.1744  2 Cd 2.19
F  0.1782  0.5732  0.5732  1 Dy 2.18, 1 Cd 2.26
F  0.4174  0.8256  0.8256  2 Cd 2.19
F  0.4268  0.4268  0.8218  1 Dy 2.18, 1 Cd 2.26
F  0.4268  0.8218  0.4268  1 Dy 2.18, 1 Cd 2.26
F  0.5732  0.1782  0.5732  1 Dy 2.18, 1 Cd 2.26
F  0.5732  0.5732  0.1782  1 Dy 2.18, 1 Cd 2.26
F  0.5826  0.1744  0.1744  2 Cd 2.19
F  0.8218  0.4268  0.4268  1 Dy 2.18, 1 Cd 2.26
F  0.8256  0.4174  0.8256  2 Cd 2.19
F  0.8256  0.8256  0.4174  2 Cd 2.19

=====

Here is an optimized crystal structure of YbCdAu2 from Alexandria. Energies are from GGA-PBE.

Results
space group: Fm-3m, No. 225
DOS at the Fermi energy: 1.8 states/eV/cell
formation energy: -0.670 eV/atom

Lattice parameters (Å, degrees): 4.9268 4.9268 4.9268 60.00 60.00 60.00
With the nearest neighbours (Å) after each atom.
Fractional coordinates of all 4 atoms:
Yb  0.0000  0.0000  0.0000  8 Au 3.02
Cd  0.5000  0.5000  0.5000  8 Au 3.02
Au  0.2500  0.2500  0.2500  4 Cd 3.02, 4 Yb 3.02
Au  0.7500  0.7500  0.7500  4 Cd 3.02, 4 Yb 3.02

=====

Result set for spin magnetization: 0.0; 0.0; 0.0; 1.1; 0.0; 0.0; 0.0; 0.0; 7.8; 0.0; 0.0; 0.0 μB per cell, one per record in the order listed.
Result set for calculated density: 7.4; 11.8; 6.1; 9.4; 6.9; 15.1; 7.8; 7.7; 8.3; 10.9; 4.3; 13.3 g cm⁻³, one per record in the order listed.